4
Lattice="4.008 0.000 0.000 0.000 4.094 0.049 0.000 1.833 10.603" Properties=species:S:1:pos:R:3 comment="K2YAs PBE relaxed" vol_a3_per_atom=43.41 space_group="No. 6" formation_energy_ev_per_atom=-0.50 pbc="T T T"
K 0.000 5.195 9.981
Y 0.000 3.196 6.547
As 2.004 5.240 6.842
K 2.004 1.187 3.261